--- one ---
# K2VRe

K2VRe after structural relaxation (PBE-GGA, Alexandria via LeMat-Bulk).

Geometry as POSCAR:
```
K2VRe
1.0
0.0000 3.9455 3.9455
3.9455 0.0000 3.9455
3.9455 3.9455 0.0000
K V Re
2 1 1
Direct
0.2500 0.2500 0.2500 K
0.7500 0.7500 0.7500 K
0.0000 0.0000 0.0000 V
0.5000 0.5000 0.5000 Re
```

Summary:
The calculation puts the total moment at 7.32 μB per cell.


--- two ---
# K2VRe

K2VRe after structural relaxation (PBE-GGA, Alexandria via LeMat-Bulk).

Geometry as POSCAR:
```
K2VRe
1.0
-6.3652 6.3652 2.2598
6.3652 -6.3652 2.2598
6.3652 6.3652 -2.2598
K V Re
4 2 2
Direct
0.3750 0.2083 0.3333 K
0.7917 0.1250 0.1667 K
0.8750 0.0417 0.6667 K
0.9583 0.6250 0.8333 K
0.0000 0.0000 0.0000 V
0.7500 0.2500 0.5000 V
0.2500 0.7500 0.5000 Re
0.5000 0.5000 0.0000 Re
```

Summary:
The calculation puts the total moment at 0.92 μB per cell.


Which one is most stable, and which one is least stable? two is the most stable of them, while one is the least stable.


--- one ---
# KVRe3

KVRe3 after structural relaxation (PBE-GGA, Alexandria via LeMat-Bulk).

Geometry as POSCAR:
```
KVRe3
1.0
4.6630 0.0000 0.0000
0.0000 4.6630 0.0000
0.0000 0.0000 4.6630
K V Re
1 1 3
Direct
0.0000 0.0000 0.0000 K
0.5000 0.5000 0.5000 V
0.0000 0.5000 0.5000 Re
0.5000 0.0000 0.5000 Re
0.5000 0.5000 0.0000 Re
```

Summary:
The calculation puts the total moment at 1.49 μB per cell.


--- two ---
# KVRe3

KVRe3 after structural relaxation (PBE-GGA, Alexandria via LeMat-Bulk).

Geometry as POSCAR:
```
KVRe3
1.0
4.4462 0.0000 0.0000
0.0000 4.4462 0.0000
0.0000 0.0000 4.4462
K V Re
1 1 3
Direct
0.0000 0.0000 0.0000 K
0.5000 0.5000 0.5000 V
0.0000 0.0000 0.5000 Re
0.0000 0.5000 0.0000 Re
0.5000 0.0000 0.0000 Re
```

Summary:
The calculation puts the total moment at 0.00 μB per cell.


Which one is most stable, and which one is least stable? one is the most stable of them, while two is the least stable.


--- one ---
# KReW2

KReW2 after structural relaxation (PBE-GGA, Alexandria via LeMat-Bulk).

Geometry as POSCAR:
```
KReW2
1.0
2.8013 0.0000 0.0000
0.0000 4.1762 0.0000
-0.9172 0.0000 7.9454
K Re W
1 1 2
Direct
0.0000 0.0000 0.0000 K
0.5000 0.0000 0.5000 Re
0.1571 0.5000 0.6478 W
0.8429 0.5000 0.3522 W
```

Summary:
The calculation puts the total moment at 0.00 μB per cell.


--- two ---
# KReW2

KReW2 after structural relaxation (PBE-GGA, Alexandria via LeMat-Bulk).

Geometry as POSCAR:
```
KReW2
1.0
0.0000 3.2773 3.2773
3.2773 0.0000 3.2773
3.2773 3.2773 0.0000
K Re W
1 1 2
Direct
0.0000 0.0000 0.0000 K
0.2500 0.2500 0.2500 Re
0.5000 0.5000 0.5000 W
0.7500 0.7500 0.7500 W
```

Summary:
The calculation puts the total moment at 0.00 μB per cell.


Which one is most stable, and which one is least stable? one is the most stable of them, while two is the least stable.


--- one ---
# KReW2

KReW2 after structural relaxation (PBE-GGA, Alexandria via LeMat-Bulk).

Geometry as POSCAR:
```
KReW2
1.0
2.8066 0.0000 0.0000
0.0000 2.8066 0.0000
0.0000 0.0000 10.2026
K Re W
1 1 2
Direct
0.0000 0.0000 0.0000 K
0.0000 0.0000 0.5000 Re
0.5000 0.5000 0.3121 W
0.5000 0.5000 0.6879 W
```

Summary:
The calculation puts the total moment at 0.00 μB per cell.


--- two ---
# KReW2

KReW2 after structural relaxation (PBE-GGA, Alexandria via LeMat-Bulk).

Geometry as POSCAR:
```
KReW2
1.0
4.5120 -1.3542 0.0000
4.5120 1.3542 0.0000
-0.1843 0.0000 7.5763
K Re W
1 1 2
Direct
0.0000 0.0000 0.0000 K
0.5000 0.5000 0.5000 Re
0.2380 0.2380 0.6508 W
0.7620 0.7620 0.3492 W
```

Summary:
The calculation puts the total moment at 0.00 μB per cell.


Which one is most stable, and which one is least stable? one is the most stable of them, while two is the least stable.


--- one ---
# KReW2

KReW2 after structural relaxation (PBE-GGA, Alexandria via LeMat-Bulk).

Geometry as POSCAR:
```
KReW2
1.0
2.9254 -4.8166 0.0000
2.9254 4.8166 0.0000
-0.8252 0.0000 2.5212
K Re W
1 1 2
Direct
0.0000 0.0000 0.0000 K
0.5000 0.5000 0.0000 Re
0.0000 0.5000 0.5000 W
0.5000 0.0000 0.5000 W
```

Summary:
The calculation puts the total moment at 0.00 μB per cell.


--- two ---
# KReW2

KReW2 after structural relaxation (PBE-GGA, Alexandria via LeMat-Bulk).

Geometry as POSCAR:
```
KReW2
1.0
-3.8182 3.8182 2.9506
3.8182 -3.8182 2.9506
3.8182 3.8182 -2.9506
K Re W
2 2 4
Direct
0.0000 0.0000 0.0000 K
0.7500 0.2500 0.5000 K
0.2500 0.7500 0.5000 Re
0.5000 0.5000 0.0000 Re
0.1867 0.1250 0.5617 W
0.3750 0.8133 0.9383 W
0.5633 0.6250 0.4383 W
0.8750 0.4367 0.0617 W
```

Summary:
The calculation puts the total moment at 0.00 μB per cell.


Which one is most stable, and which one is least stable? one is the most stable of them, while two is the least stable.


--- one ---
# KReW2

KReW2 after structural relaxation (PBE-GGA, Alexandria via LeMat-Bulk).

Geometry as POSCAR:
```
KReW2
1.0
4.9609 0.0000 0.0000
0.0000 4.9609 0.0000
0.0000 0.0000 2.8485
K Re W
1 1 2
Direct
0.0000 0.0000 0.0000 K
0.5000 0.5000 0.0000 Re
0.0000 0.5000 0.5000 W
0.5000 0.0000 0.5000 W
```

Summary:
The calculation puts the total moment at 0.00 μB per cell.


--- two ---
# KReW2

KReW2 after structural relaxation (PBE-GGA, Alexandria via LeMat-Bulk).

Geometry as POSCAR:
```
KReW2
1.0
1.5614 -2.2935 0.0000
1.5614 2.2935 0.0000
0.0000 0.0000 10.6029
K Re W
1 1 2
Direct
0.0000 0.0000 0.0000 K
0.0000 0.0000 0.5000 Re
0.5000 0.5000 0.2952 W
0.5000 0.5000 0.7048 W
```

Summary:
The calculation puts the total moment at 0.00 μB per cell.


Which one is most stable, and which one is least stable? two is the most stable of them, while one is the least stable.


--- one ---
# KReW2

KReW2 after structural relaxation (PBE-GGA, Alexandria via LeMat-Bulk).

Geometry as POSCAR:
```
KReW2
1.0
1.5809 -2.2711 0.0000
1.5809 2.2711 0.0000
0.0000 0.0000 10.4974
K Re W
1 1 2
Direct
0.0000 0.0000 0.0000 K
0.5000 0.5000 0.7171 Re
0.0000 0.0000 0.5127 W
0.5000 0.5000 0.3031 W
```

Summary:
The calculation puts the total moment at 0.00 μB per cell.


--- two ---
# KReW2

KReW2 after structural relaxation (PBE-GGA, Alexandria via LeMat-Bulk).

Geometry as POSCAR:
```
KReW2
1.0
-1.3025 2.7362 5.6409
1.3025 -2.7362 5.6409
1.3025 2.7362 -5.6409
K Re W
1 1 2
Direct
0.0000 0.0000 0.0000 K
0.5000 0.5000 0.0000 Re
0.2884 0.7884 0.5000 W
0.7116 0.2116 0.5000 W
```

Summary:
The calculation puts the total moment at 0.00 μB per cell.


--- three ---
# KReW2

KReW2 after structural relaxation (PBE-GGA, Alexandria via LeMat-Bulk).

Geometry as POSCAR:
```
KReW2
1.0
-1.4212 2.6695 5.1539
1.4212 -2.6695 5.1539
1.4212 2.6695 -5.1539
K Re W
1 1 2
Direct
0.0000 0.0000 0.0000 K
0.2824 0.7824 0.5000 Re
0.4929 0.4929 0.0000 W
0.7105 0.2105 0.5000 W
```

Summary:
The calculation puts the total moment at 0.71 μB per cell.


--- four ---
# KReW2

KReW2 after structural relaxation (PBE-GGA, Alexandria via LeMat-Bulk).

Geometry as POSCAR:
```
KReW2
1.0
2.8102 -4.8869 0.0000
2.8102 4.8869 0.0000
0.0000 0.0000 2.6275
K Re W
1 1 2
Direct
0.0000 0.0000 0.0000 K
0.5000 0.5000 0.0000 Re
0.0000 0.5000 0.5000 W
0.5000 0.0000 0.5000 W
```

Summary:
The calculation puts the total moment at 0.00 μB per cell.


Which one is most stable, and which one is least stable? one is the most stable of them, while four is the least stable.


--- one ---
# KReW2

KReW2 after structural relaxation (PBE-GGA, Alexandria via LeMat-Bulk).

Geometry as POSCAR:
```
KReW2
1.0
2.8896 0.0000 0.0000
0.0000 4.0696 0.0000
0.0000 0.0000 8.0290
K Re W
1 1 2
Direct
0.0000 0.0000 0.0000 K
0.5000 0.5000 0.3490 Re
0.0000 0.0000 0.4840 W
0.5000 0.5000 0.6417 W
```

Summary:
The calculation puts the total moment at 0.00 μB per cell.


--- two ---
# KReW2

KReW2 after structural relaxation (PBE-GGA, Alexandria via LeMat-Bulk).

Geometry as POSCAR:
```
KReW2
1.0
4.5642 -1.3547 0.0000
4.5642 1.3547 0.0000
-0.1685 0.0000 7.4794
K Re W
1 1 2
Direct
0.0000 0.0000 0.0000 K
0.2409 0.2409 0.6550 Re
0.4978 0.4978 0.5153 W
0.7605 0.7605 0.3516 W
```

Summary:
The calculation puts the total moment at 0.00 μB per cell.


Which one is most stable, and which one is least stable? one is the most stable of them, while two is the least stable.


--- one ---
# KReW2

KReW2 after structural relaxation (PBE-GGA, Alexandria via LeMat-Bulk).

Geometry as POSCAR:
```
KReW2
1.0
3.0846 0.0000 0.0000
0.0000 3.0846 0.0000
0.0000 0.0000 9.1428
K Re W
1 1 2
Direct
0.0000 0.0000 0.0000 K
0.5000 0.5000 0.3212 Re
0.0000 0.0000 0.4803 W
0.5000 0.5000 0.6575 W
```

Summary:
The calculation puts the total moment at 0.00 μB per cell.


--- two ---
# KReW2

KReW2 after structural relaxation (PBE-GGA, Alexandria via LeMat-Bulk).

Geometry as POSCAR:
```
KReW2
1.0
4.0008 0.0000 0.0000
0.0000 4.0008 0.0000
0.0000 0.0000 4.5838
K Re W
1 1 2
Direct
0.0000 0.0000 0.0000 K
0.5000 0.5000 0.0000 Re
0.0000 0.5000 0.5000 W
0.5000 0.0000 0.5000 W
```

Summary:
The calculation puts the total moment at 1.09 μB per cell.


--- three ---
# KReW2

KReW2 after structural relaxation (PBE-GGA, Alexandria via LeMat-Bulk).

Geometry as POSCAR:
```
KReW2
1.0
1.4382 0.8303 10.6936
-1.4382 0.8303 10.6936
0.0000 -1.6607 10.6936
K Re W
1 1 2
Direct
0.0000 0.0000 0.0000 K
0.5000 0.5000 0.5000 Re
0.2344 0.2344 0.2344 W
0.7656 0.7656 0.7656 W
```

Summary:
The calculation puts the total moment at 0.00 μB per cell.


--- four ---
# KReW2

KReW2 after structural relaxation (PBE-GGA, Alexandria via LeMat-Bulk).

Geometry as POSCAR:
```
KReW2
1.0
2.8743 0.0000 0.0000
0.0000 3.9657 0.0000
0.0000 0.0000 8.1863
K Re W
1 1 2
Direct
0.0000 0.0000 0.0000 K
0.0000 0.0000 0.5000 Re
0.5000 0.5000 0.3525 W
0.5000 0.5000 0.6475 W
```

Summary:
The calculation puts the total moment at 0.00 μB per cell.


Which one is most stable, and which one is least stable? three is the most stable of them, while two is the least stable.


--- one ---
# KReW

KReW after structural relaxation (PBE-GGA, Alexandria via LeMat-Bulk).

Geometry as POSCAR:
```
KReW
1.0
-1.3238 2.7791 4.1213
1.3238 -2.7791 4.1213
1.3238 2.7791 -4.1213
K Re W
1 1 1
Direct
0.0000 0.0000 0.0000 K
0.3540 0.3540 0.0000 Re
0.6473 0.6473 0.0000 W
```

Summary:
The calculation puts the total moment at 0.00 μB per cell.


--- two ---
# KReW

KReW after structural relaxation (PBE-GGA, Alexandria via LeMat-Bulk).

Geometry as POSCAR:
```
KReW
1.0
2.8201 0.0000 0.0000
-1.4101 2.4423 0.0000
0.0000 0.0000 8.4778
K Re W
1 1 1
Direct
0.0000 0.0000 0.0000 K
0.6667 0.3333 0.3576 Re
0.3333 0.6667 0.6233 W
```

Summary:
The calculation puts the total moment at 0.00 μB per cell.


Which one is most stable, and which one is least stable? two is the most stable of them, while one is the least stable.


--- one ---
# KReW

KReW after structural relaxation (PBE-GGA, Alexandria via LeMat-Bulk).

Geometry as POSCAR:
```
KReW
1.0
0.0000 2.3047 8.2886
1.5451 0.0000 8.2886
1.5451 2.3047 0.0000
K Re W
1 1 1
Direct
0.0000 0.0000 0.0000 K
0.3207 0.3207 0.6793 Re
0.6926 0.6926 0.3074 W
```

Summary:
The calculation puts the total moment at 0.00 μB per cell.


--- two ---
# KReW

KReW after structural relaxation (PBE-GGA, Alexandria via LeMat-Bulk).

Geometry as POSCAR:
```
KReW
1.0
0.0000 3.2798 3.2798
3.2798 0.0000 3.2798
3.2798 3.2798 0.0000
K Re W
1 1 1
Direct
0.0000 0.0000 0.0000 K
0.7500 0.7500 0.7500 Re
0.2500 0.2500 0.2500 W
```

Summary:
The calculation puts the total moment at 0.19 μB per cell.


--- three ---
# KReW

KReW after structural relaxation (PBE-GGA, Alexandria via LeMat-Bulk).

Geometry as POSCAR:
```
KReW
1.0
-1.3370 1.3370 8.4017
1.3370 -1.3370 8.4017
1.3370 1.3370 -8.4017
K Re W
1 1 1
Direct
0.0000 0.0000 0.0000 K
0.3217 0.3217 0.0000 Re
0.6892 0.6892 0.0000 W
```

Summary:
The calculation puts the total moment at 0.40 μB per cell.


--- four ---
# KReW

KReW after structural relaxation (PBE-GGA, Alexandria via LeMat-Bulk).

Geometry as POSCAR:
```
KReW
1.0
0.0000 3.1869 3.1869
3.1869 0.0000 3.1869
3.1869 3.1869 0.0000
K Re W
1 1 1
Direct
0.0000 0.0000 0.0000 K
0.2500 0.2500 0.2500 Re
0.5000 0.5000 0.5000 W
```

Summary:
The calculation puts the total moment at 0.00 μB per cell.


Which one is most stable, and which one is least stable? one is the most stable of them, while two is the least stable.


--- one ---
# K2ReW

K2ReW after structural relaxation (PBE-GGA, Alexandria via LeMat-Bulk).

Geometry as POSCAR:
```
K2ReW
1.0
-1.6796 3.1228 5.9569
1.6796 -3.1228 5.9569
1.6796 3.1228 -5.9569
K Re W
2 1 1
Direct
0.0000 0.0000 0.0000 K
0.7135 0.2135 0.5000 K
0.2809 0.7809 0.5000 Re
0.4167 0.4167 0.0000 W
```

Summary:
The calculation puts the total moment at 0.26 μB per cell.


--- two ---
# K2ReW

K2ReW after structural relaxation (PBE-GGA, Alexandria via LeMat-Bulk).

Geometry as POSCAR:
```
K2ReW
1.0
-6.2973 6.2973 2.3768
6.2973 -6.2973 2.3768
6.2973 6.2973 -2.3768
K Re W
4 2 2
Direct
0.3750 0.2112 0.3362 K
0.7888 0.1250 0.1638 K
0.8750 0.0388 0.6638 K
0.9612 0.6250 0.8362 K
0.0000 0.0000 0.0000 Re
0.7500 0.2500 0.5000 Re
0.2500 0.7500 0.5000 W
0.5000 0.5000 0.0000 W
```

Summary:
The calculation puts the total moment at 0.12 μB per cell.


Which one is most stable, and which one is least stable? one is the most stable of them, while two is the least stable.